Record 1
Computed, not measured: an optimized crystal structure of TlInRe2 at the PBEsol level of DFT.

Properties
formation energy: 0.981 eV per atom

```
data_TlInRe2
_space_group_name_H-M_alt 'C 1 2/m 1'
_space_group_IT_number 12
_space_group_name_Hall '-C 2y'
_cell_length_a 5.814
_cell_length_b 9.417
_cell_length_c 2.914
_cell_angle_alpha 90.00
_cell_angle_beta 117.91
_cell_angle_gamma 90.00
loop_
_atom_site_label
_atom_site_type_symbol
_atom_site_fract_x
_atom_site_fract_y
_atom_site_fract_z
Tl1 Tl 0.000 0.000 0.000
In1 In 0.000 0.500 0.000
Re1 Re 0.250 0.250 0.500
```


Record 2
Computed, not measured: an optimized crystal structure of TlIn3Re at the PBEsol level of DFT.

Properties
formation energy: 0.399 eV per atom

```
data_TlIn3Re
_space_group_name_H-M_alt 'P m -3 m'
_space_group_IT_number 221
_space_group_name_Hall '-P 4 2 3'
_cell_length_a 5.188
_cell_length_b 5.188
_cell_length_c 5.188
_cell_angle_alpha 90.00
_cell_angle_beta 90.00
_cell_angle_gamma 90.00
loop_
_atom_site_label
_atom_site_type_symbol
_atom_site_fract_x
_atom_site_fract_y
_atom_site_fract_z
Tl1 Tl 0.000 0.000 0.000
In1 In 0.000 0.500 0.500
Re1 Re 0.500 0.500 0.500
```


Record 3
Computed, not measured: an optimized crystal structure of In3ReW at the PBEsol level of DFT.

Properties
formation energy: 1.747 eV per atom

```
data_In3ReW
_space_group_name_H-M_alt 'P m -3 m'
_space_group_IT_number 221
_space_group_name_Hall '-P 4 2 3'
_cell_length_a 5.091
_cell_length_b 5.091
_cell_length_c 5.091
_cell_angle_alpha 90.00
_cell_angle_beta 90.00
_cell_angle_gamma 90.00
loop_
_atom_site_label
_atom_site_type_symbol
_atom_site_fract_x
_atom_site_fract_y
_atom_site_fract_z
In1 In 0.000 0.000 0.500
Re1 Re 0.000 0.000 0.000
W1 W 0.500 0.500 0.500
```


Record 4
Computed, not measured: an optimized crystal structure of InReW2 at the PBEsol level of DFT.

Properties
formation energy: 0.499 eV per atom

```
data_InReW2
_space_group_name_H-M_alt 'F -4 3 m'
_space_group_IT_number 216
_space_group_name_Hall 'F -4 2 3'
_cell_length_a 6.379
_cell_length_b 6.379
_cell_length_c 6.379
_cell_angle_alpha 90.00
_cell_angle_beta 90.00
_cell_angle_gamma 90.00
loop_
_atom_site_label
_atom_site_type_symbol
_atom_site_fract_x
_atom_site_fract_y
_atom_site_fract_z
In1 In 0.000 0.000 0.000
Re1 Re 0.250 0.250 0.250
W1 W 0.000 0.000 0.500
W2 W 0.250 0.250 0.750
```


Record 5
Computed, not measured: an optimized crystal structure of YInRe2 at the PBEsol level of DFT.

Properties
formation energy: 0.561 eV per atom

```
data_YInRe2
_space_group_name_H-M_alt 'I 4/m m m'
_space_group_IT_number 139
_space_group_name_Hall '-I 4 2'
_cell_length_a 4.035
_cell_length_b 4.035
_cell_length_c 8.997
_cell_angle_alpha 90.00
_cell_angle_beta 90.00
_cell_angle_gamma 90.00
loop_
_atom_site_label
_atom_site_type_symbol
_atom_site_fract_x
_atom_site_fract_y
_atom_site_fract_z
Y1 Y 0.000 0.000 0.000
In1 In 0.000 0.000 0.500
Re1 Re 0.000 0.500 0.250
```


Record 6
Computed, not measured: an optimized crystal structure of YIn2Re at the PBEsol level of DFT.

Properties
formation energy: 0.156 eV per atom
excess energy over the best structure of this formula in the dataset: 87 meV/atom

```
data_YIn2Re
_space_group_name_H-M_alt 'P 1 2/m 1'
_space_group_IT_number 10
_space_group_name_Hall '-P 2y'
_cell_length_a 3.010
_cell_length_b 4.725
_cell_length_c 5.905
_cell_angle_alpha 90.00
_cell_angle_beta 103.77
_cell_angle_gamma 90.00
loop_
_atom_site_label
_atom_site_type_symbol
_atom_site_fract_x
_atom_site_fract_y
_atom_site_fract_z
Y1 Y 0.000 0.000 0.000
In1 In 0.345 0.500 0.731
Re1 Re 0.500 0.000 0.500
```


Record 7
Computed, not measured: an optimized crystal structure of Y2InRe at the PBEsol level of DFT.

Properties
formation energy: -0.112 eV per atom

```
data_Y2InRe
_space_group_name_H-M_alt 'P 4/m m m'
_space_group_IT_number 123
_space_group_name_Hall '-P 4 2'
_cell_length_a 3.503
_cell_length_b 3.503
_cell_length_c 7.342
_cell_angle_alpha 90.00
_cell_angle_beta 90.00
_cell_angle_gamma 90.00
loop_
_atom_site_label
_atom_site_type_symbol
_atom_site_fract_x
_atom_site_fract_y
_atom_site_fract_z
Y1 Y 0.000 0.000 0.219
In1 In 0.500 0.500 0.500
Re1 Re 0.500 0.500 0.000
```


Record 8
Computed, not measured: an optimized crystal structure of YInRe2 at the PBEsol level of DFT.

Properties
formation energy: 0.494 eV per atom

```
data_YInRe2
_space_group_name_H-M_alt 'C 1 2/m 1'
_space_group_IT_number 12
_space_group_name_Hall '-C 2y'
_cell_length_a 5.746
_cell_length_b 9.497
_cell_length_c 2.842
_cell_angle_alpha 90.00
_cell_angle_beta 113.03
_cell_angle_gamma 90.00
loop_
_atom_site_label
_atom_site_type_symbol
_atom_site_fract_x
_atom_site_fract_y
_atom_site_fract_z
Y1 Y 0.000 0.000 0.000
In1 In 0.000 0.500 0.000
Re1 Re 0.250 0.250 0.500
```